This record from the Alexandria database describes an optimized crystal structure of TmSc4Co. The functional is PBE.

Summary:
Size of the total moment, μB per atom: 0.002
Formation energy from the elements, eV per atom: -0.0136
Calculated total energy, eV per atom: -6.1642

abc: 5.561 5.976 9.007
angles: 70.67 82.55 89.99
Positions (direct):
1 Tm 0.250 0.169 0.000
2 Tm 0.750 0.831 0.000
3 Sc 0.168 0.937 0.379
4 Sc 0.214 0.533 0.219
5 Sc 0.286 0.751 0.781
6 Sc 0.332 0.316 0.621
7 Sc 0.668 0.684 0.379
8 Sc 0.714 0.249 0.219
9 Sc 0.786 0.467 0.781
10 Sc 0.832 0.063 0.621
11 Co 0.000 0.500 0.500
12 Co 0.500 0.000 0.500